[1]
The following is a DFT calculation (GGA-PBE) of an optimized crystal structure of Al2Ru.

The value obtained for the energy of formation from the pure elements is -0.390 eV/atom.

The structure belongs to space group P-3m1 (No. 164); the cell edges are 4.1477, 4.1477 and 2.8982 Å and the angles 90.00°, 90.00° and 120.00°. The distinct sites, in fractional coordinates, are Al at (0.3333, 0.6667, 0.1943) and Ru at (0.0000, 0.0000, 0.5000).

=====

[2]
The following is a DFT calculation (GGA-PBE) of an optimized crystal structure of Al5Ru4.

The value obtained for the energy of formation from the pure elements is -0.379 eV/atom.

The structure belongs to space group I4/mmm (No. 139); the cell edges are 7.948, 7.948 and 4.015 Å and the angles 90.00°, 90.00° and 90.00°. The distinct sites, in fractional coordinates, are Al at (0.000, 0.000, 0.000), Al at (0.172, 0.172, 0.500) and Ru at (0.000, 0.322, 0.000).

=====

[3]
The following is a DFT calculation (GGA-PBE) of an optimized crystal structure of AlRu2.

The value obtained for the energy of formation from the pure elements is 0.472 eV/atom.

The structure belongs to space group P4/mmm (No. 123); the cell edges are 4.000, 4.000 and 2.984 Å and the angles 90.00°, 90.00° and 90.00°. The distinct sites, in fractional coordinates, are Al at (0.000, 0.000, 0.000) and Ru at (0.000, 0.500, 0.500).

=====

[4]
The following is a DFT calculation (GGA-PBE) of an optimized crystal structure of AlRu2.

The value obtained for the energy of formation from the pure elements is -0.265 eV/atom.

The structure belongs to space group Immm (No. 71); the cell edges are 2.803, 3.757 and 7.957 Å and the angles 90.00°, 90.00° and 90.00°. The distinct sites, in fractional coordinates, are Al at (0.000, 0.000, 0.000) and Ru at (0.000, 0.000, 0.333).

=====

Copy entry 4 word for word.
The following is a DFT calculation (GGA-PBE) of an optimized crystal structure of AlRu2.

The value obtained for the energy of formation from the pure elements is -0.265 eV/atom.

The structure belongs to space group Immm (No. 71); the cell edges are 2.803, 3.757 and 7.957 Å and the angles 90.00°, 90.00° and 90.00°. The distinct sites, in fractional coordinates, are Al at (0.000, 0.000, 0.000) and Ru at (0.000, 0.000, 0.333).

=====

Please write out number 3 again, unchanged.
The following is a DFT calculation (GGA-PBE) of an optimized crystal structure of AlRu2.

The value obtained for the energy of formation from the pure elements is 0.472 eV/atom.

The structure belongs to space group P4/mmm (No. 123); the cell edges are 4.000, 4.000 and 2.984 Å and the angles 90.00°, 90.00° and 90.00°. The distinct sites, in fractional coordinates, are Al at (0.000, 0.000, 0.000) and Ru at (0.000, 0.500, 0.500).

=====

Copy entry 3 word for word.
The following is a DFT calculation (GGA-PBE) of an optimized crystal structure of AlRu2.

The value obtained for the energy of formation from the pure elements is 0.472 eV/atom.

The structure belongs to space group P4/mmm (No. 123); the cell edges are 4.000, 4.000 and 2.984 Å and the angles 90.00°, 90.00° and 90.00°. The distinct sites, in fractional coordinates, are Al at (0.000, 0.000, 0.000) and Ru at (0.000, 0.500, 0.500).